[1]
Computed, not measured: a relaxed structure of CrAgN2 at the PBE level of DFT.

Calculated values
DOS(E_F) = 3.87 states/eV per cell
Crystal system = tetragonal
SG = No. 122
E_form (uncorrected) = 0.091 eV per atom
Final energy = -7.19 eV per atom

abc: 4.8662 4.8662 8.6606
angles: 90.00 90.00 90.00
Positions (direct):
Cr1 0.0000 0.0000 0.0000
Cr2 0.0000 0.5000 0.2500
Cr3 0.5000 0.0000 0.7500
Cr4 0.5000 0.5000 0.5000
Ag1 0.0000 0.0000 0.5000
Ag2 0.0000 0.5000 0.7500
Ag3 0.5000 0.0000 0.2500
Ag4 0.5000 0.5000 0.0000
N1 0.1577 0.2500 0.1250
N2 0.2500 0.6577 0.3750
N3 0.2500 0.8423 0.8750
N4 0.3423 0.2500 0.6250
N5 0.6577 0.7500 0.6250
N6 0.7500 0.1577 0.8750
N7 0.7500 0.3423 0.3750
N8 0.8423 0.7500 0.1250

[2]
Computed, not measured: a relaxed structure of Pa2GaRh at the PBE level of DFT.

Calculated values
DOS(E_F) = 5.89 states/eV per cell
Crystal system = tetragonal
SG = No. 123
Energy of formation from the pure elements = -0.46 eV/atom
Final energy = -7.80 eV per atom

abc: 4.3221 4.3221 4.3068
angles: 90.00 90.00 90.00
Positions (direct):
Pa1 0.0000 0.5000 0.0000
Pa2 0.5000 0.0000 0.0000
Ga1 0.0000 0.0000 0.5000
Rh1 0.5000 0.5000 0.5000

[3]
Computed, not measured: a relaxed structure of LiDy3C at the PBE level of DFT.

Calculated values
DOS(E_F) = 6.01 states/eV per cell
Crystal system = cubic
SG = No. 221
Energy of formation from the pure elements = -0.05 eV/atom
Final energy = -5.03 eV per atom

abc: 4.9660 4.9660 4.9660
angles: 90.00 90.00 90.00
Positions (direct):
Li1 0.0000 0.0000 0.0000
Dy1 0.0000 0.5000 0.5000
Dy2 0.5000 0.0000 0.5000
Dy3 0.5000 0.5000 0.0000
C1 0.5000 0.5000 0.5000

[4]
Computed, not measured: a relaxed structure of YTe2HI at the PBE level of DFT.

Calculated values
DOS(E_F) = 3.73 states/eV per cell
Crystal system = tetragonal
SG = No. 123
Final energy = -3.68 eV per atom

abc: 4.5859 4.5859 5.8535
angles: 90.00 90.00 90.00
Positions (direct):
Y1 0.0000 0.0000 0.0000
Te1 0.0000 0.5000 0.5000
Te2 0.5000 0.0000 0.5000
H1 0.5000 0.5000 0.5000
I1 0.5000 0.5000 0.0000

Question: Which formula does entry 3 have?
Answer: LiDy3C

Question: Number 2 is which compound?
Answer: Pa2GaRh